Tb2HoHg4 after structural relaxation, computed with PBE.

Lattice parameters (Å, degrees): 5.0907 5.0907 26.1355 90.00 90.00 120.00
Space group R-3m (No. 166, hexagonal axes)
Asymmetric unit:
Tb 0.0000 0.0000 0.2445 x6
Ho 0.0000 0.0000 0.0000 x3
Hg 0.0000 0.0000 0.1265 x6
Hg 0.0000 0.0000 0.3739 x6

Values from the calculation:
E_form: -0.34 eV per atom
Energy above the most stable polymorph in this dataset: 0 kJ/mol of formula units